! PBE CsSrNb, optimized geometry; values from VASP
! SG   F-43m, No. 216
! Polymorph energy (0 for the lowest one)   0.0000 eV per atom
&SYSTEM
  ibrav = 0, nat = 3, ntyp = 3
/
ATOMIC_SPECIES
Cs 132.91 Cs.upf
Sr 87.62 Sr.upf
Nb 92.91 Nb.upf
CELL_PARAMETERS angstrom
0.0000 4.3208 4.3208
4.3208 0.0000 4.3208
4.3208 4.3208 0.0000
ATOMIC_POSITIONS crystal
Cs 0.0000 0.0000 0.0000
Sr 0.5000 0.5000 0.5000
Nb 0.2500 0.2500 0.2500

! PBE CsNbTc, optimized geometry; values from VASP
! SG   F-43m, No. 216
&SYSTEM
  ibrav = 0, nat = 3, ntyp = 3
/
ATOMIC_SPECIES
Cs 132.91 Cs.upf
Nb 92.91 Nb.upf
Tc 98.00 Tc.upf
CELL_PARAMETERS angstrom
0.0000 3.2139 3.2139
3.2139 0.0000 3.2139
3.2139 3.2139 0.0000
ATOMIC_POSITIONS crystal
Cs 0.0000 0.0000 0.0000
Nb 0.7500 0.7500 0.7500
Tc 0.2500 0.2500 0.2500

! PBE CsThNb, optimized geometry; values from VASP
! SG   F-43m, No. 216
&SYSTEM
  ibrav = 0, nat = 3, ntyp = 3
/
ATOMIC_SPECIES
Cs 132.91 Cs.upf
Th 232.04 Th.upf
Nb 92.91 Nb.upf
CELL_PARAMETERS angstrom
0.0000 3.7275 3.7275
3.7275 0.0000 3.7275
3.7275 3.7275 0.0000
ATOMIC_POSITIONS crystal
Cs 0.0000 0.0000 0.0000
Th 0.5000 0.5000 0.5000
Nb 0.2500 0.2500 0.2500

! PBE CsNbTl, optimized geometry; values from VASP
! SG   F-43m, No. 216
&SYSTEM
  ibrav = 0, nat = 3, ntyp = 3
/
ATOMIC_SPECIES
Cs 132.91 Cs.upf
Nb 92.91 Nb.upf
Tl 204.38 Tl.upf
CELL_PARAMETERS angstrom
0.0000 4.1255 4.1255
4.1255 0.0000 4.1255
4.1255 4.1255 0.0000
ATOMIC_POSITIONS crystal
Cs 0.0000 0.0000 0.0000
Nb 0.7500 0.7500 0.7500
Tl 0.2500 0.2500 0.2500

! PBE CsUNb, optimized geometry; values from VASP
! SG   F-43m, No. 216
&SYSTEM
  ibrav = 0, nat = 3, ntyp = 3
/
ATOMIC_SPECIES
Cs 132.91 Cs.upf
U 238.03 U.upf
Nb 92.91 Nb.upf
CELL_PARAMETERS angstrom
0.0000 3.5117 3.5117
3.5117 0.0000 3.5117
3.5117 3.5117 0.0000
ATOMIC_POSITIONS crystal
Cs 0.0000 0.0000 0.0000
U 0.2500 0.2500 0.2500
Nb 0.5000 0.5000 0.5000

! PBE CsYNb, optimized geometry; values from VASP
! SG   F-43m, No. 216
&SYSTEM
  ibrav = 0, nat = 3, ntyp = 3
/
ATOMIC_SPECIES
Cs 132.91 Cs.upf
Y 88.91 Y.upf
Nb 92.91 Nb.upf
CELL_PARAMETERS angstrom
0.0000 3.6241 3.6241
3.6241 0.0000 3.6241
3.6241 3.6241 0.0000
ATOMIC_POSITIONS crystal
Cs 0.0000 0.0000 0.0000
Y 0.2500 0.2500 0.2500
Nb 0.7500 0.7500 0.7500

! PBE CsNd2, optimized geometry; values from VASP
! SG   Fd-3m, No. 227
&SYSTEM
  ibrav = 0, nat = 6, ntyp = 2
/
ATOMIC_SPECIES
Cs 132.91 Cs.upf
Nd 144.24 Nd.upf
CELL_PARAMETERS angstrom
0.0000 5.2539 5.2539
5.2539 0.0000 5.2539
5.2539 5.2539 0.0000
ATOMIC_POSITIONS crystal
Cs 0.1250 0.1250 0.1250
Cs 0.8750 0.8750 0.8750
Nd 0.0000 0.5000 0.5000
Nd 0.5000 0.0000 0.5000
Nd 0.5000 0.5000 0.0000
Nd 0.5000 0.5000 0.5000

! PBE Cs2Nd, optimized geometry; values from VASP
! SG   Fd-3m, No. 227
&SYSTEM
  ibrav = 0, nat = 6, ntyp = 2
/
ATOMIC_SPECIES
Cs 132.91 Cs.upf
Nd 144.24 Nd.upf
CELL_PARAMETERS angstrom
0.0000 5.7119 5.7119
5.7119 0.0000 5.7119
5.7119 5.7119 0.0000
ATOMIC_POSITIONS crystal
Cs 0.0000 0.0000 0.0000
Cs 0.0000 0.0000 0.5000
Cs 0.0000 0.5000 0.0000
Cs 0.5000 0.0000 0.0000
Nd 0.3750 0.3750 0.3750
Nd 0.6250 0.6250 0.6250

! PBE CsNdNiS3, optimized geometry; values from VASP
! SG   Cmcm, No. 63
&SYSTEM
  ibrav = 0, nat = 12, ntyp = 4
/
ATOMIC_SPECIES
Cs 132.91 Cs.upf
Nd 144.24 Nd.upf
Ni 58.69 Ni.upf
S 32.06 S.upf
CELL_PARAMETERS angstrom
2.0387 -7.7140 0.0000
2.0387 7.7140 0.0000
0.0000 0.0000 10.8543
ATOMIC_POSITIONS crystal
Cs 0.2412 0.7588 0.7500
Cs 0.7588 0.2412 0.2500
Nd 0.5000 0.5000 0.0000
Nd 0.5000 0.5000 0.5000
Ni 0.0320 0.9680 0.2500
Ni 0.9680 0.0320 0.7500
S 0.1145 0.8855 0.0771
S 0.1145 0.8855 0.4229
S 0.4547 0.5453 0.2500
S 0.5453 0.4547 0.7500
S 0.8855 0.1145 0.5771
S 0.8855 0.1145 0.9229

! PBE CsNdNiSe3, optimized geometry; values from VASP
! SG   Pnma, No. 62
&SYSTEM
  ibrav = 0, nat = 24, ntyp = 4
/
ATOMIC_SPECIES
Cs 132.91 Cs.upf
Nd 144.24 Nd.upf
Ni 58.69 Ni.upf
Se 78.96 Se.upf
CELL_PARAMETERS angstrom
16.1435 0.0000 0.0000
0.0000 4.1933 0.0000
0.0000 0.0000 11.3375
ATOMIC_POSITIONS crystal
Cs 0.2304 0.2500 0.0154
Cs 0.2696 0.7500 0.5154
Cs 0.7304 0.2500 0.4846
Cs 0.7696 0.7500 0.9846
Nd 0.0209 0.2500 0.3438
Nd 0.4791 0.7500 0.8438
Nd 0.5209 0.2500 0.1562
Nd 0.9791 0.7500 0.6562
Ni 0.0124 0.7500 0.0886
Ni 0.4876 0.2500 0.5886
Ni 0.5124 0.7500 0.4114
Ni 0.9876 0.2500 0.9114
Se 0.0616 0.7500 0.8953
Se 0.0959 0.2500 0.5773
Se 0.1228 0.7500 0.2330
Se 0.3772 0.2500 0.7330
Se 0.4041 0.7500 0.0773
Se 0.4384 0.2500 0.3953
Se 0.5616 0.7500 0.6047
Se 0.5959 0.2500 0.9227
Se 0.6228 0.7500 0.2670
Se 0.8772 0.2500 0.7670
Se 0.9041 0.7500 0.4227
Se 0.9384 0.2500 0.1047

! PBE CsNdNiSe3, optimized geometry; values from VASP
! SG   Pnma, No. 62
&SYSTEM
  ibrav = 0, nat = 24, ntyp = 4
/
ATOMIC_SPECIES
Cs 132.91 Cs.upf
Nd 144.24 Nd.upf
Ni 58.69 Ni.upf
Se 78.96 Se.upf
CELL_PARAMETERS angstrom
10.2222 0.0000 0.0000
0.0000 4.3114 0.0000
0.0000 0.0000 15.6917
ATOMIC_POSITIONS crystal
Cs 0.0377 0.2500 0.1652
Cs 0.4623 0.7500 0.6652
Cs 0.5377 0.2500 0.3348
Cs 0.9623 0.7500 0.8348
Nd 0.1551 0.7500 0.4333
Nd 0.3449 0.2500 0.9333
Nd 0.6551 0.7500 0.0667
Nd 0.8449 0.2500 0.5667
Ni 0.1538 0.2500 0.6274
Ni 0.3462 0.7500 0.1274
Ni 0.6538 0.2500 0.8726
Ni 0.8462 0.7500 0.3726
Se 0.0456 0.7500 0.6112
Se 0.1944 0.7500 0.0090
Se 0.2269 0.2500 0.7676
Se 0.2731 0.7500 0.2676
Se 0.3056 0.2500 0.5090
Se 0.4544 0.2500 0.1112
Se 0.5456 0.7500 0.8888
Se 0.6944 0.7500 0.4910
Se 0.7269 0.2500 0.7324
Se 0.7731 0.7500 0.2324
Se 0.8056 0.2500 0.9910
Se 0.9544 0.2500 0.3888

! PBE CsNdNiSe3, optimized geometry; values from VASP
! SG   C2/m, No. 12
&SYSTEM
  ibrav = 0, nat = 12, ntyp = 4
/
ATOMIC_SPECIES
Cs 132.91 Cs.upf
Nd 144.24 Nd.upf
Ni 58.69 Ni.upf
Se 78.96 Se.upf
CELL_PARAMETERS angstrom
8.5104 -2.2468 0.0000
8.5104 2.2468 0.0000
-1.6856 0.0000 9.0052
ATOMIC_POSITIONS crystal
Cs 0.1520 0.1520 0.0699
Cs 0.8480 0.8480 0.9301
Nd 0.1654 0.1654 0.5844
Nd 0.8346 0.8346 0.4156
Ni 0.4929 0.4929 0.7167
Ni 0.5071 0.5071 0.2833
Se 0.0000 0.0000 0.5000
Se 0.3434 0.3434 0.6384
Se 0.3664 0.3664 0.2267
Se 0.5000 0.5000 0.0000
Se 0.6336 0.6336 0.7733
Se 0.6566 0.6566 0.3616

| no. | electronic total energy (eV per cell) |
| --- | --- |
| 1 | -8.2 |
| 2 | -12.9 |
| 3 | -13.3 |
| 4 | -7.7 |
| 5 | -15.1 |
| 6 | -11.2 |
| 7 | -17.0 |
| 8 | -8.2 |
| 9 | -62.2 |
| 10 | -114.9 |
| 11 | -112.7 |
| 12 | -54.7 |